1) DFT (PBE) results for an optimized crystal structure of YMgMo3.

Structure (extended XYZ):
```
5
Lattice="4.730 0.000 0.000 0.000 4.730 0.000 0.000 0.000 4.730" Properties=species:S:1:pos:R:3 pbc="T T T"
Y 2.365 2.365 2.365
Mo 0.000 2.365 0.000
Mo 0.000 0.000 2.365
Mo 2.365 0.000 0.000
Mg 0.000 0.000 0.000
```

Output
Symmetry: Pm-3m
Volume (Å³/f.u.): 105.8
Total moment (μB per formula unit): 1.196

2) DFT (PBE) results for an optimized crystal structure of YMgMo3.

Structure (extended XYZ):
```
5
Lattice="4.865 0.000 0.000 0.000 4.865 0.000 0.000 0.000 4.865" Properties=species:S:1:pos:R:3 pbc="T T T"
Y 0.000 0.000 0.000
Mo 0.000 2.433 0.000
Mo 0.000 0.000 2.433
Mo 2.433 0.000 0.000
Mg 2.433 2.433 2.433
```

Output
Symmetry: Pm-3m
Volume (Å³/f.u.): 115.2
Total moment (μB per formula unit): 0.000

Computed energies relative to the best structure, in meV per atom: 1) 0; 2) 541

1) DFT (PBE) results for an optimized crystal structure of YMg6Mo.

Structure (extended XYZ):
```
8
Lattice="-5.327 2.508 2.832 3.003 -5.471 1.934 2.937 2.715 3.121" Properties=species:S:1:pos:R:3 pbc="T T T"
Y -2.398 2.466 4.235
Mg -0.909 -0.260 5.205
Mg 0.255 1.225 2.818
Mg -1.030 -2.835 3.436
Mg 0.069 -1.434 1.182
Mg -2.514 -0.186 2.528
Mg 1.425 -3.960 2.104
Mo 1.679 -1.439 3.795
```

Output
Symmetry: Amm2
Volume (Å³/f.u.): 178.2
Total moment (μB per formula unit): 1.209

2) DFT (PBE) results for an optimized crystal structure of YMg6Mo.

Structure (extended XYZ):
```
8
Lattice="3.117 -5.675 0.000 3.117 5.675 0.000 0.000 0.000 5.007" Properties=species:S:1:pos:R:3 pbc="T T T"
Y 3.117 3.468 0.000
Mg 1.622 0.830 0.000
Mg 4.612 0.830 0.000
Mg 3.117 -1.921 0.000
Mg 1.564 -0.817 2.504
Mg 4.671 -0.817 2.504
Mg 3.117 -3.700 2.504
Mo 3.117 2.129 2.504
```

Output
Symmetry: Amm2
Volume (Å³/f.u.): 177.2
Total moment (μB per formula unit): 0.000

Computed energies relative to the best structure, in meV per atom: 1) 21; 2) 0

1) DFT (PBE) results for an optimized crystal structure of MgZnMo3.

Structure (extended XYZ):
```
5
Lattice="4.614 0.000 0.000 0.000 4.614 0.000 0.000 0.000 4.614" Properties=species:S:1:pos:R:3 pbc="T T T"
Mg 2.307 2.307 2.307
Mo 0.000 2.307 0.000
Mo 0.000 0.000 2.307
Mo 2.307 0.000 0.000
Zn 0.000 0.000 0.000
```

Output
Symmetry: Pm-3m
Volume (Å³/f.u.): 98.2
Total moment (μB per formula unit): 0.000

2) DFT (PBE) results for an optimized crystal structure of MgZnMo3.

Structure (extended XYZ):
```
5
Lattice="-4.365 0.750 1.170 -1.378 -2.819 -3.337 0.174 -3.531 2.912" Properties=species:S:1:pos:R:3 pbc="T T T"
Mg 0.000 0.000 0.000
Mo -0.689 -1.409 -1.668
Mo 0.087 -1.766 1.456
Mo -2.182 0.375 0.585
Zn -2.785 -2.800 0.372
```

Output
Symmetry: Pm-3m
Volume (Å³/f.u.): 96.1
Total moment (μB per formula unit): 1.704

Computed energies relative to the best structure, in meV per atom: 1) 0; 2) 583

1) DFT (PBE) results for an optimized crystal structure of Mg2ZrMo.

Structure (extended XYZ):
```
4
Lattice="-4.458 2.532 -1.203 -3.970 -3.403 -0.626 3.559 0.664 3.824" Properties=species:S:1:pos:R:3 pbc="T T T"
Mg 0.000 0.000 0.000
Mg -2.312 -1.587 1.142
Mo -4.214 -0.435 -0.914
Zr -2.557 1.380 0.853
```

Output
Symmetry: I-4m2
Volume (Å³/f.u.): 77.6
Total moment (μB per formula unit): 0.000

2) DFT (PBE) results for an optimized crystal structure of Mg2ZrMo.

Structure (extended XYZ):
```
4
Lattice="5.567 0.016 0.000 -2.739 4.846 0.000 0.000 0.000 2.877" Properties=species:S:1:pos:R:3 pbc="T T T"
Mg 0.000 0.000 0.000
Mg 1.414 2.431 0.000
Mo 2.783 0.008 1.439
Zr -1.370 2.423 1.439
```

Output
Symmetry: Cmmm
Volume (Å³/f.u.): 77.7
Total moment (μB per formula unit): 0.001

3) DFT (PBE) results for an optimized crystal structure of Mg2ZrMo.

Structure (extended XYZ):
```
4
Lattice="0.408 -2.279 4.175 -2.314 1.630 3.845 -3.709 -2.434 1.764" Properties=species:S:1:pos:R:3 pbc="T T T"
Mo -2.807 -1.542 4.892
Mg -1.404 -0.771 2.446
Mg -4.211 -2.312 7.338
Zr 0.000 0.000 0.000
```

Output
Symmetry: Fm-3m
Volume (Å³/f.u.): 76.9
Total moment (μB per formula unit): 0.776

Computed energies relative to the best structure, in meV per atom: 1) 9; 2) 0; 3) 158

1) DFT (PBE) results for an optimized crystal structure of Mg2ZrMo.

Structure (extended XYZ):
```
4
Lattice="3.670 0.000 0.000 0.000 3.670 0.000 0.000 0.000 5.760" Properties=species:S:1:pos:R:3 pbc="T T T"
Mg 0.000 0.000 0.113
Mg 0.000 0.000 2.767
Mo 1.835 1.835 1.440
Zr 1.835 1.835 4.320
```

Output
Symmetry: P4/mmm
Volume (Å³/f.u.): 77.6
Total moment (μB per formula unit): 0.001

2) DFT (PBE) results for an optimized crystal structure of Mg2ZrMo.

Structure (extended XYZ):
```
4
Lattice="2.822 0.035 0.000 -0.657 2.745 0.000 0.000 0.000 9.994" Properties=species:S:1:pos:R:3 pbc="T T T"
Mg 0.000 0.000 0.223
Mg 0.000 0.000 4.774
Mo 1.082 1.390 2.498
Zr 1.082 1.390 7.495
```

Output
Symmetry: Cmmm
Volume (Å³/f.u.): 77.6
Total moment (μB per formula unit): 0.000

Computed energies relative to the best structure, in meV per atom: 1) 157; 2) 0

1) DFT (PBE) results for an optimized crystal structure of Mg2ZrMo.

Structure (extended XYZ):
```
8
Lattice="-3.022 0.884 7.168 4.864 -5.494 2.729 2.760 -0.408 5.490" Properties=species:S:1:pos:R:3 pbc="T T T"
Mo 0.000 0.000 0.000
Mo 0.330 -0.914 8.803
Mg -0.665 -0.214 6.370
Mg 3.427 -3.447 3.797
Mg 2.641 -1.899 7.761
Mg 3.802 -4.475 12.844
Zr 0.921 -2.305 4.948
Zr 4.273 -4.103 6.583
```

Output
Symmetry: I-42d
Volume (Å³/f.u.): 82.7
Total moment (μB per formula unit): 0.000

2) DFT (PBE) results for an optimized crystal structure of Mg2ZrMo.

Structure (extended XYZ):
```
4
Lattice="-5.915 7.192 -4.911 -8.083 5.773 -3.489 -6.588 7.930 -2.130" Properties=species:S:1:pos:R:3 pbc="T T T"
Mg -0.129 0.131 -0.066
Mg -10.164 10.316 -5.199
Mo -15.440 15.671 -7.897
Zr -5.147 5.224 -2.632
```

Output
Symmetry: R-3m
Volume (Å³/f.u.): 78.6
Total moment (μB per formula unit): 0.353

Computed energies relative to the best structure, in meV per atom: 1) 343; 2) 0

1) DFT (PBE) results for an optimized crystal structure of Mg2ZrMo.

Structure (extended XYZ):
```
4
Lattice="5.804 0.007 -0.001 -3.137 4.883 -0.001 0.419 0.769 2.750" Properties=species:S:1:pos:R:3 pbc="T T T"
Mg 0.000 0.000 0.000
Mg 1.333 2.445 -0.001
Mo 3.112 0.388 1.374
Zr -1.359 2.826 1.374
```

Output
Symmetry: C2/m
Volume (Å³/f.u.): 78.0
Total moment (μB per formula unit): 0.000

2) DFT (PBE) results for an optimized crystal structure of Mg2ZrMo.

Structure (extended XYZ):
```
4
Lattice="-1.372 -3.682 4.290 3.722 -1.203 4.307 -2.889 4.170 -2.848" Properties=species:S:1:pos:R:3 pbc="T T T"
Mg 2.314 -4.810 8.465
Mg 1.211 -2.517 4.430
Mo -1.543 -0.977 2.870
Zr 1.004 0.263 2.878
```

Output
Symmetry: Immm
Volume (Å³/f.u.): 78.4
Total moment (μB per formula unit): 0.000

Computed energies relative to the best structure, in meV per atom: 1) 58; 2) 0

1) DFT (PBE) results for an optimized crystal structure of Mg2ZrMo.

Structure (extended XYZ):
```
4
Lattice="-3.331 -2.777 2.051 0.299 -1.052 4.671 -3.136 1.902 3.092" Properties=species:S:1:pos:R:3 pbc="T T T"
Mg 0.000 0.000 0.000
Mg -1.542 -0.482 2.453
Mo -3.084 -0.964 4.907
Zr -4.626 -1.445 7.360
```

Output
Symmetry: F-43m
Volume (Å³/f.u.): 78.1
Total moment (μB per formula unit): 0.000

2) DFT (PBE) results for an optimized crystal structure of Mg2ZrMo.

Structure (extended XYZ):
```
4
Lattice="-4.172 2.284 0.134 -1.358 -2.479 -0.037 -0.289 -0.869 5.805" Properties=species:S:1:pos:R:3 pbc="T T T"
Mg -0.043 -0.081 0.036
Mg -2.510 0.281 1.544
Mo -0.806 -1.645 2.931
Zr -3.284 -1.294 4.275
```

Output
Symmetry: Pm
Volume (Å³/f.u.): 78.3
Total moment (μB per formula unit): 0.000

Computed energies relative to the best structure, in meV per atom: 1) 98; 2) 0